[1]
Here is an optimized crystal structure of CaLaCl2 from Alexandria. Energies are from PBE.

E = -15.3 eV/f.u.
volume = 23.857 Å³/atom
ΔE to the lowest computed polymorph = 378 meV per atom
size of the total moment = 0.2397 μB/atom
energy relative to the elements, uncorrected = -1.17 eV/atom

CIF file:
```
data_CaLaCl2
_chemical_formula_sum 'Ca1 La1 Cl2'
_symmetry_space_group_name_H-M 'P 1'
_symmetry_Int_Tables_number 1
_cell_length_a 5.129
_cell_length_b 5.129
_cell_length_c 5.129
_cell_angle_alpha 60.00
_cell_angle_beta 60.00
_cell_angle_gamma 60.00
loop_
_symmetry_equiv_pos_as_xyz
'x,y,z'
loop_
_atom_site_label
_atom_site_fract_x
_atom_site_fract_y
_atom_site_fract_z
La1 0.500 0.500 0.500
Cl1 0.250 0.250 0.250
Cl2 0.750 0.750 0.750
Ca1 0.000 0.000 0.000
```


[2]
Here is an optimized crystal structure of CaLaCl2 from Alexandria. Energies are from PBE.

E = -15.4 eV/f.u.
volume = 23.595 Å³/atom
ΔE to the lowest computed polymorph = 343 meV per atom
size of the total moment = 0.0254 μB/atom
energy relative to the elements, uncorrected = -1.20 eV/atom

CIF file:
```
data_CaLaCl2
_chemical_formula_sum 'Ca1 La1 Cl2'
_symmetry_space_group_name_H-M 'P 1'
_symmetry_Int_Tables_number 1
_cell_length_a 5.053
_cell_length_b 5.052
_cell_length_c 3.697
_cell_angle_alpha 90.00
_cell_angle_beta 90.00
_cell_angle_gamma 89.99
loop_
_symmetry_equiv_pos_as_xyz
'x,y,z'
loop_
_atom_site_label
_atom_site_fract_x
_atom_site_fract_y
_atom_site_fract_z
Ca1 0.000 0.500 0.500
Cl1 0.000 0.000 0.000
La1 0.500 0.000 0.500
Cl2 0.500 0.500 0.000
```


[3]
Here is an optimized crystal structure of CaLaCl2 from Alexandria. Energies are from PBE.

E = -16.8 eV/f.u.
volume = 28.238 Å³/atom
ΔE to the lowest computed polymorph = 0 meV per atom
size of the total moment = 0.1688 μB/atom
energy relative to the elements, uncorrected = -1.55 eV/atom

CIF file:
```
data_CaLaCl2
_chemical_formula_sum 'Ca1 La1 Cl2'
_symmetry_space_group_name_H-M 'P 1'
_symmetry_Int_Tables_number 1
_cell_length_a 3.906
_cell_length_b 3.906
_cell_length_c 7.405
_cell_angle_alpha 90.00
_cell_angle_beta 90.00
_cell_angle_gamma 90.00
loop_
_symmetry_equiv_pos_as_xyz
'x,y,z'
loop_
_atom_site_label
_atom_site_fract_x
_atom_site_fract_y
_atom_site_fract_z
La1 0.000 0.000 0.418
Ca1 0.500 0.500 0.831
Cl1 0.500 0.500 0.267
Cl2 0.000 0.000 0.984
```


[4]
Here is an optimized crystal structure of CaLa2Cl from Alexandria. Energies are from PBE.

E = -15.2 eV/f.u.
volume = 33.192 Å³/atom
ΔE to the lowest computed polymorph = 314 meV per atom
size of the total moment = 0.0013 μB/atom
energy relative to the elements, uncorrected = -0.37 eV/atom

CIF file:
```
data_CaLa2Cl
_chemical_formula_sum 'Ca1 La2 Cl1'
_symmetry_space_group_name_H-M 'P 1'
_symmetry_Int_Tables_number 1
_cell_length_a 3.676
_cell_length_b 5.748
_cell_length_c 6.284
_cell_angle_alpha 90.00
_cell_angle_beta 90.00
_cell_angle_gamma 90.00
loop_
_symmetry_equiv_pos_as_xyz
'x,y,z'
loop_
_atom_site_label
_atom_site_fract_x
_atom_site_fract_y
_atom_site_fract_z
La1 0.500 0.500 0.000
Cl1 0.000 0.500 0.500
La2 0.000 0.000 0.000
Ca1 0.500 0.000 0.500
```